# 1
First-principles (PBE) data for an optimized crystal structure of SrFe2OsC, as listed in the Alexandria database.

Results
* energy relative to the elements: 0.57 eV/atom
* distance to the lowest polymorph of the same formula: 0.000 eV per atom

The structure in CIF format:
```
data_SrFe2OsC
_symmetry_space_group_name_H-M 'P 1'
_symmetry_Int_Tables_number 1
_cell_length_a 4.215
_cell_length_b 4.094
_cell_length_c 4.215
_cell_angle_alpha 90.00
_cell_angle_beta 90.00
_cell_angle_gamma 90.00
loop_
_symmetry_equiv_pos_as_xyz
'x,y,z'
loop_
_atom_site_label
_atom_site_fract_x
_atom_site_fract_y
_atom_site_fract_z
C1 0.000 0.000 0.000
Os1 0.000 0.500 0.000
Fe1 0.000 0.000 0.500
Fe2 0.500 0.000 0.000
Sr1 0.500 0.500 0.500
```

# 2
First-principles (PBE) data for an optimized crystal structure of V2FeOsC, as listed in the Alexandria database.

Results
* energy relative to the elements: -0.10 eV/atom

The structure in CIF format:
```
data_V2FeOsC
_symmetry_space_group_name_H-M 'P 1'
_symmetry_Int_Tables_number 1
_cell_length_a 3.962
_cell_length_b 3.962
_cell_length_c 3.704
_cell_angle_alpha 90.00
_cell_angle_beta 90.00
_cell_angle_gamma 90.00
loop_
_symmetry_equiv_pos_as_xyz
'x,y,z'
loop_
_atom_site_label
_atom_site_fract_x
_atom_site_fract_y
_atom_site_fract_z
C1 0.000 0.000 0.000
V1 0.000 0.500 0.000
V2 0.500 0.000 0.000
Fe1 0.000 0.000 0.500
Os1 0.500 0.500 0.500
```

# 3
First-principles (PBE) data for an optimized crystal structure of ZrFe2OsC, as listed in the Alexandria database.

Results
* energy relative to the elements: -0.15 eV/atom

The structure in CIF format:
```
data_ZrFe2OsC
_symmetry_space_group_name_H-M 'P 1'
_symmetry_Int_Tables_number 1
_cell_length_a 3.911
_cell_length_b 3.911
_cell_length_c 4.048
_cell_angle_alpha 90.00
_cell_angle_beta 90.00
_cell_angle_gamma 90.00
loop_
_symmetry_equiv_pos_as_xyz
'x,y,z'
loop_
_atom_site_label
_atom_site_fract_x
_atom_site_fract_y
_atom_site_fract_z
Fe1 0.500 0.000 0.000
Fe2 0.000 0.500 0.000
C1 0.000 0.000 0.000
Zr1 0.500 0.500 0.500
Os1 0.000 0.000 0.500
```

# 4
First-principles (PBE) data for an optimized crystal structure of FeP3C, as listed in the Alexandria database.

Results
* energy relative to the elements: 1.61 eV/atom
* distance to the lowest polymorph of the same formula: 0.437 eV per atom

The structure in CIF format:
```
data_FeP3C
_symmetry_space_group_name_H-M 'P 1'
_symmetry_Int_Tables_number 1
_cell_length_a 4.237
_cell_length_b 4.237
_cell_length_c 4.237
_cell_angle_alpha 90.00
_cell_angle_beta 90.00
_cell_angle_gamma 90.00
loop_
_symmetry_equiv_pos_as_xyz
'x,y,z'
loop_
_atom_site_label
_atom_site_fract_x
_atom_site_fract_y
_atom_site_fract_z
P1 0.000 0.000 0.500
P2 0.000 0.500 0.000
P3 0.500 0.000 0.000
C1 0.500 0.500 0.500
Fe1 0.000 0.000 0.000
```

# 5
First-principles (PBE) data for an optimized crystal structure of FeP3C, as listed in the Alexandria database.

Results
* energy relative to the elements: 1.18 eV/atom
* distance to the lowest polymorph of the same formula: 0.000 eV per atom

The structure in CIF format:
```
data_FeP3C
_symmetry_space_group_name_H-M 'P 1'
_symmetry_Int_Tables_number 1
_cell_length_a 3.891
_cell_length_b 3.891
_cell_length_c 3.891
_cell_angle_alpha 90.00
_cell_angle_beta 90.00
_cell_angle_gamma 90.00
loop_
_symmetry_equiv_pos_as_xyz
'x,y,z'
loop_
_atom_site_label
_atom_site_fract_x
_atom_site_fract_y
_atom_site_fract_z
P1 0.500 0.000 0.000
P2 0.000 0.500 0.000
P3 0.000 0.000 0.500
C1 0.000 0.000 0.000
Fe1 0.500 0.500 0.500
```

# 6
First-principles (PBE) data for an optimized crystal structure of Pa3Fe6PC2, as listed in the Alexandria database.

Results
* energy relative to the elements: -0.11 eV/atom

The structure in CIF format:
```
data_Pa3Fe6PC2
_symmetry_space_group_name_H-M 'P 1'
_symmetry_Int_Tables_number 1
_cell_length_a 5.145
_cell_length_b 5.145
_cell_length_c 7.754
_cell_angle_alpha 90.00
_cell_angle_beta 90.00
_cell_angle_gamma 120.00
loop_
_symmetry_equiv_pos_as_xyz
'x,y,z'
loop_
_atom_site_label
_atom_site_fract_x
_atom_site_fract_y
_atom_site_fract_z
Fe1 0.833 0.665 0.735
Fe2 0.167 0.335 0.265
Fe3 0.833 0.167 0.735
Fe4 0.665 0.833 0.265
Fe5 0.167 0.833 0.265
Fe6 0.335 0.167 0.735
C1 0.667 0.333 0.874
C2 0.333 0.667 0.126
Pa1 0.333 0.667 0.626
Pa2 0.000 0.000 0.000
Pa3 0.667 0.333 0.374
P1 0.000 0.000 0.500
```